Compound: CeSmOs
Source: the Alexandria database
Functional: PBE
Structure: optimized geometry

Unit cell a=7.9908 b=6.3156 c=7.0921 alpha=68.07 beta=90.00 gamma=90.00
With the nearest neighbours (Å) after each atom.
Atoms (fractional coordinates):
1 Ce 0.3409 0.2373 0.9415  3 Os 2.68-2.75
2 Ce 0.1591 0.2373 0.4415  3 Os 2.68-2.75
3 Sm 0.1543 0.7332 0.9527  3 Os 2.93-3.01
4 Sm 0.3457 0.7332 0.4527  3 Os 2.93-3.01
5 Os 0.9200 0.5537 0.2931  3 Ce 2.68-2.75, 2 Sm 2.93
6 Sm 0.8457 0.2668 0.0473  3 Os 2.93-3.01
7 Sm 0.6543 0.2668 0.5473  3 Os 2.93-3.01
8 Ce 0.8409 0.7627 0.5585  3 Os 2.68-2.75
9 Os 0.4200 0.4463 0.2069  3 Ce 2.68-2.75, 2 Sm 2.93
10 Os 0.0800 0.4463 0.7069  3 Ce 2.68-2.75, 2 Sm 2.93
11 Ce 0.6591 0.7627 0.0585  3 Os 2.68-2.75
12 Os 0.5800 0.5537 0.7931  3 Ce 2.68-2.75, 2 Sm 2.93

Summary:
Its space group is No. 14. The calculation puts the energy above the most stable polymorph in this dataset at 98 meV/atom. The volume comes out at 332.01 Å³/cell. Its formation energy from the elements is -0.033 eV per atom.

=====

Compound: MgAuBr2
Source: the Alexandria database
Functional: PBE
Structure: optimized geometry

Unit cell a=3.3031 b=3.3031 c=10.4923 alpha=90.00 beta=90.00 gamma=90.00
With the nearest neighbours (Å) after each atom.
Atoms (fractional coordinates):
1 Br 0.0000 0.0000 0.0933  4 Mg 2.86
2 Mg 0.5000 0.5000 0.2500  8 Br 2.86
3 Br 0.0000 0.0000 0.4067  4 Mg 2.86
4 Au 0.5000 0.5000 0.7500  4 Au 3.30

Summary:
Its space group is No. 123. The calculation puts the formation energy without anion corrections at -372 meV per atom. The calculation puts the energy above the most stable polymorph in this dataset at 253 meV/atom. The volume comes out at 114.48 Å³/cell.

=====

Compound: NpNbRh2
Source: the Alexandria database
Functional: PBE
Structure: optimized geometry

Unit cell a=2.8339 b=2.8339 c=9.8463 alpha=81.73 beta=81.73 gamma=60.00
With the nearest neighbours (Å) after each atom.
Atoms (fractional coordinates):
1 Rh 0.2446 0.2446 0.2663  3 Nb 2.80, 6 Rh 2.83, 3 Np 3.06
2 Np 0.0000 0.0000 0.0000  6 Np 2.83, 6 Rh 3.06
3 Nb 0.5000 0.5000 0.5000  6 Rh 2.80, 6 Nb 2.83
4 Rh 0.7554 0.7554 0.7337  3 Nb 2.80, 6 Rh 2.83, 3 Np 3.06

Summary:
Its space group is No. 166. The calculation puts the energy above the most stable polymorph in this dataset at 132 meV/atom. The volume comes out at 67.53 Å³/cell. Its formation energy from the elements is -0.121 eV per atom.

=====

- Look up the volume of the first one.
  332.01 Å³/cell